[1]
DFT (PBE-GGA) results for an optimized crystal structure of Nd3Y2PuTe6.

Cell lengths 4.4108, 8.9417, 9.9549 Å; angles 103.46, 102.80, 90.00 degrees
Positions (direct):
Te 0.3341 0.9106 0.6681
Te 0.6706 0.5765 0.3411
Te 0.3294 0.4235 0.6589
Te 0.9982 0.7533 0.9963
Te 0.0018 0.2467 0.0037
Te 0.6659 0.0894 0.3319
Nd 0.8346 0.1662 0.6691
Nd 0.5000 0.5000 0.0000
Nd 0.1654 0.8338 0.3309
Y 0.8364 0.6720 0.6729
Y 0.1636 0.3280 0.3271
Pu 0.5000 0.0000 0.0000

Output
**Raw total energy**: -76.58 eV/cell
**Crystal system**: monoclinic
**Space-group type**: C2/m, No. 12
**E_form (uncorrected)**: -1.35 eV/atom

---

[2]
DFT (PBE-GGA) results for an optimized crystal structure of Be2TlPb.

Cell lengths 6.9240, 6.9240, 3.6375 Å; angles 75.33, 75.33, 31.65 degrees
Positions (direct):
Be 0.6621 0.6621 0.8417
Be 0.0832 0.0832 0.9134
Pb 0.4996 0.4996 0.4955
Tl 0.2551 0.2551 0.2494

Output
**Raw total energy**: -11.29 eV/cell
**Distance to the lowest polymorph of the same formula**: 47 meV/atom
**Crystal system**: monoclinic
**Space-group type**: Cm, No. 8

---

[3]
DFT (PBE-GGA) results for an optimized crystal structure of PmDyIrBr.

Cell lengths 4.0909, 4.0906, 8.0940 Å; angles 90.00, 104.64, 120.00 degrees
Positions (direct):
Br 0.9636 0.3802 0.3581
Pm 0.5097 0.1527 0.6780
Dy 0.0968 0.9462 0.0586
Ir 0.3078 0.5517 0.8750

Output
**Raw total energy**: -24.24 eV/cell
**Crystal system**: trigonal
**Space-group type**: R3m, No. 160
**E_form (uncorrected)**: -1.09 eV/atom

---

[4]
DFT (PBE-GGA) results for an optimized crystal structure of Pm7Dy12Th.

Cell lengths 8.7565, 8.7565, 8.7565 Å; angles 89.31, 89.31, 89.31 degrees
Positions (direct):
Dy 0.3834 0.8512 0.4971
Dy 0.4971 0.3834 0.8512
Dy 0.2852 0.7441 0.8675
Dy 0.8512 0.4971 0.3834
Dy 0.1488 0.5029 0.6166
Dy 0.6166 0.1488 0.5029
Dy 0.5029 0.6166 0.1488
Dy 0.8675 0.2852 0.7441
Dy 0.7441 0.8675 0.2852
Dy 0.7148 0.2559 0.1325
Dy 0.2559 0.1325 0.7148
Dy 0.1325 0.7148 0.2559
Pm 0.1612 0.3803 0.0473
Pm 0.9527 0.8388 0.6197
Pm 0.5000 0.5000 0.5000
Pm 0.0473 0.1612 0.3803
Pm 0.6197 0.9527 0.8388
Pm 0.3803 0.0473 0.1612
Pm 0.8388 0.6197 0.9527
Th 0.0000 0.0000 0.0000

Output
**Raw total energy**: -91.17 eV/cell
**Crystal system**: trigonal
**Space-group type**: R-3, No. 148

---

[5]
DFT (PBE-GGA) results for an optimized crystal structure of Nd2Ge2O7.

Cell lengths 7.2599, 7.2599, 7.2599 Å; angles 60.00, 60.00, 60.00 degrees
Positions (direct):
Ge 0.1250 0.6250 0.1250
Ge 0.1250 0.1250 0.1250
Ge 0.6250 0.1250 0.1250
Ge 0.1250 0.1250 0.6250
O 0.5000 0.5000 0.5000
O 0.4494 0.0506 0.0506
O 0.7500 0.7500 0.7500
O 0.0506 0.4494 0.4494
O 0.8006 0.1994 0.8006
O 0.4494 0.0506 0.4494
O 0.0506 0.0506 0.4494
O 0.8006 0.8006 0.1994
O 0.1994 0.8006 0.1994
O 0.1994 0.1994 0.8006
O 0.0506 0.4494 0.0506
O 0.1994 0.8006 0.8006
O 0.4494 0.4494 0.0506
O 0.8006 0.1994 0.1994
Nd 0.1250 0.6250 0.6250
Nd 0.6250 0.6250 0.6250
Nd 0.6250 0.1250 0.6250
Nd 0.6250 0.6250 0.1250

Output
**Raw total energy**: -161.34 eV/cell
**Crystal system**: cubic
**Space-group type**: Fd-3m, No. 227
**E_form (uncorrected)**: -2.47 eV/atom

---

[6]
DFT (PBE-GGA) results for an optimized crystal structure of Tb6Ho3Cd.

Cell lengths 4.9984, 10.9687, 11.1634 Å; angles 91.35, 90.00, 90.00 degrees
Positions (direct):
Tb 0.2500 0.4488 0.1022
Tb 0.7500 0.5512 0.8978
Tb 0.2500 0.8600 0.3142
Tb 0.7500 0.3465 0.2984
Tb 0.7500 0.7623 0.5054
Tb 0.7500 0.1400 0.6858
Tb 0.2500 0.0470 0.8966
Tb 0.7500 0.8477 0.8082
Tb 0.2500 0.2377 0.4946
Tb 0.2500 0.6535 0.7016
Tb 0.2500 0.1523 0.1918
Tb 0.7500 0.9530 0.1034
Cd 0.7500 0.0515 0.3945
Cd 0.2500 0.9485 0.6055
Ho 0.2500 0.3473 0.7930
Ho 0.7500 0.2478 0.9926
Ho 0.7500 0.4486 0.5991
Ho 0.2500 0.5514 0.4009
Ho 0.2500 0.7522 0.0074
Ho 0.7500 0.6527 0.2070

Output
**Raw total energy**: -85.24 eV/cell
**Distance to the lowest polymorph of the same formula**: 0 meV/atom
**Crystal system**: monoclinic
**Space-group type**: P2_1/m, No. 11

---

[7]
DFT (PBE-GGA) results for an optimized crystal structure of Ag2Br.

Cell lengths 3.5579, 3.5579, 6.0892 Å; angles 90.00, 90.00, 120.00 degrees
Positions (direct):
Ag 0.3333 0.6667 0.3379
Ag 0.6667 0.3333 0.6621
Br 0.0000 0.0000 0.0000

Output
**Raw total energy**: -7.30 eV/cell
**Distance to the lowest polymorph of the same formula**: 183 meV/atom
**Crystal system**: trigonal
**Space-group type**: P-3m1, No. 164
**E_form (uncorrected)**: 0.02 eV/atom

---

[8]
DFT (PBE-GGA) results for an optimized crystal structure of Ba2Cd2In15.

Cell lengths 8.2941, 8.2941, 8.2941 Å; angles 81.48, 81.48, 81.48 degrees
Positions (direct):
In 0.0000 0.0000 0.5000
In 0.0000 0.2927 0.7073
In 0.0000 0.5000 0.0000
In 0.7073 0.2927 0.0000
In 0.3564 0.8474 0.3564
In 0.2927 0.0000 0.7073
In 0.6436 0.1526 0.6436
In 0.8474 0.3564 0.3564
In 0.6436 0.6436 0.1526
In 0.2927 0.7073 0.0000
In 0.5000 0.0000 0.0000
In 0.0000 0.7073 0.2927
In 0.3564 0.3564 0.8474
In 0.1526 0.6436 0.6436
In 0.7073 0.0000 0.2927
Cd 0.9040 0.9040 0.9040
Cd 0.0960 0.0960 0.0960
Ba 0.3383 0.3383 0.3383
Ba 0.6617 0.6617 0.6617

Output
**Raw total energy**: -49.08 eV/cell
**Crystal system**: trigonal
**Space-group type**: R-3m, No. 166